Compound: Mg2HAu
Source: the Alexandria database
Functional: PBE-GGA
Structure: relaxed

For the distance to the lowest polymorph of the same formula, the calculation gives 0.0293 eV per atom. The total magnetic moment comes out at 0.0 μB per formula unit. The total energy comes out at -31.68 eV for the cell shown.

a = 3.2252 Å, b = 3.2252 Å, c = 20.2872 Å
α = 90.00°, β = 90.00°, γ = 120.00°
Space group R-3m (No. 166, hexagonal axes)
Symmetry-distinct sites (fractional):
1 Mg 0.0000 0.0000 0.2313 x6
2 H 0.0000 0.0000 0.5000 x3
3 Au 0.0000 0.0000 0.0000 x3